Li4SiIr2Pb | PBE-GGA | optimized geometry

Output
The crystal system is tetragonal. Its total magnetic moment is 0.0009 μB/atom. The calculation puts the total energy at -4.6702 eV/atom.

Structure (extended XYZ):
```
8
Lattice="4.166 0.000 0.000 0.000 4.166 0.000 0.000 0.000 6.558" Properties=species:S:1:pos:R:3 pbc="T T T"
Li 0.000 0.000 0.000
Li 0.000 2.083 4.715
Li 2.083 0.000 1.843
Li 2.083 2.083 3.279
Si 0.000 0.000 3.279
Ir 0.000 2.083 1.917
Ir 2.083 0.000 4.641
Pb 2.083 2.083 0.000
```